Model i:
The following is a DFT calculation (PBE) of a geometry-optimized Mg3GaAg structure.

abc: 5.0268 5.0268 5.0268
angles: 90.00 90.00 90.00
Sites, in units of the cell vectors:
Mg1 0.0000 0.5000 0.0000
Mg2 0.0000 0.0000 0.5000
Mg3 0.5000 0.0000 0.0000
Ga1 0.0000 0.0000 0.0000
Ag1 0.5000 0.5000 0.5000

Values from the calculation:
Its space-group type is Pm-3m. The magnetization comes out at 0.0 μB per formula unit.

Model ii:
The following is a DFT calculation (PBE) of a geometry-optimized Mg3GaAg structure.

abc: 5.1006 5.1006 5.1006
angles: 90.00 90.00 90.00
Sites, in units of the cell vectors:
Mg1 0.0000 0.5000 0.0000
Mg2 0.0000 0.0000 0.5000
Mg3 0.5000 0.0000 0.0000
Ga1 0.5000 0.5000 0.5000
Ag1 0.0000 0.0000 0.0000

Values from the calculation:
Its space-group type is Pm-3m. The magnetization comes out at 0.0 μB per formula unit.

Model iii:
The following is a DFT calculation (PBE) of a geometry-optimized Mg3GaAg structure.

abc: 4.4186 6.1627 7.8651
angles: 90.00 90.00 90.00
Sites, in units of the cell vectors:
Mg1 0.7500 0.7500 0.0546
Mg2 0.2500 0.2500 0.9454
Mg3 0.7500 0.0001 0.6962
Mg4 0.7500 0.4999 0.6962
Mg5 0.2500 0.9999 0.3038
Mg6 0.2500 0.5001 0.3038
Ga1 0.7500 0.2500 0.1724
Ga2 0.2500 0.7500 0.8276
Ag1 0.7500 0.7500 0.4029
Ag2 0.2500 0.2500 0.5971

Values from the calculation:
Its space-group type is Pmmn. The magnetization comes out at 0.0 μB per formula unit.

Model iv:
The following is a DFT calculation (PBE) of a geometry-optimized Mg3GaAg structure.

abc: 4.3924 5.5022 8.9325
angles: 95.48 90.00 113.52
Sites, in units of the cell vectors:
Mg1 0.0691 0.1382 0.3626
Mg2 0.9309 0.8618 0.6374
Mg3 0.4392 0.8784 0.1446
Mg4 0.5608 0.1216 0.8554
Mg5 0.2468 0.4936 0.7485
Mg6 0.7532 0.5064 0.2515
Ga1 0.8616 0.7231 0.9422
Ga2 0.1384 0.2769 0.0578
Ag1 0.6419 0.2838 0.5571
Ag2 0.3581 0.7162 0.4429

Values from the calculation:
Its space-group type is C2/m. The magnetization comes out at 0.0 μB per formula unit.

Quick one: least stable of them? model i

Model i:
The following is a DFT calculation (PBE) of a geometry-optimized Mg5Ga2Ag structure.

abc: 4.4743 5.9387 11.9740
angles: 90.00 90.00 90.00
Sites, in units of the cell vectors:
Mg1 0.5000 0.3157 0.1081
Mg2 0.5000 0.6843 0.8919
Mg3 0.5000 0.8157 0.3919
Mg4 0.5000 0.1843 0.6081
Mg5 0.0000 0.9089 0.7357
Mg6 0.0000 0.0911 0.2643
Mg7 0.0000 0.4089 0.7643
Mg8 0.0000 0.5911 0.2357
Mg9 0.0000 0.5000 0.5000
Mg10 0.0000 0.0000 0.0000
Ga1 0.5000 0.3334 0.3586
Ga2 0.5000 0.6666 0.6414
Ga3 0.5000 0.1666 0.8586
Ga4 0.5000 0.8334 0.1414
Ag1 0.0000 0.0000 0.5000
Ag2 0.0000 0.5000 0.0000

Values from the calculation:
Its space-group type is Pbam. The magnetization comes out at 0.0 μB per formula unit.

Model ii:
The following is a DFT calculation (PBE) of a geometry-optimized Mg5Ga2Ag structure.

abc: 4.5081 5.5060 14.4627
angles: 90.00 90.00 114.17
Sites, in units of the cell vectors:
Mg1 0.9488 0.8976 0.9008
Mg2 0.9488 0.8976 0.5992
Mg3 0.3553 0.7107 0.4576
Mg4 0.3553 0.7107 0.0424
Mg5 0.5018 0.0036 0.2500
Mg6 0.4982 0.9964 0.7500
Mg7 0.6447 0.2893 0.5424
Mg8 0.6447 0.2893 0.9576
Mg9 0.0512 0.1024 0.0992
Mg10 0.0512 0.1024 0.4008
Ga1 0.7614 0.5229 0.3561
Ga2 0.7614 0.5229 0.1439
Ga3 0.2386 0.4771 0.6439
Ga4 0.2386 0.4771 0.8561
Ag1 0.7814 0.5629 0.7500
Ag2 0.2186 0.4371 0.2500

Values from the calculation:
Its space-group type is Cmcm. The magnetization comes out at 0.0 μB per formula unit.

Quick one: least stable of them? model ii

Model i:
The following is a DFT calculation (PBE) of a geometry-optimized Mg2Ga8Ag structure.

abc: 4.2984 4.2984 11.3831
angles: 90.00 90.00 90.00
Sites, in units of the cell vectors:
Mg1 0.0000 0.0000 0.3255
Mg2 0.0000 0.0000 0.6745
Ga1 0.0000 0.5000 0.5000
Ga2 0.5000 0.0000 0.5000
Ga3 0.5000 0.5000 0.3151
Ga4 0.5000 0.5000 0.6849
Ga5 0.0000 0.5000 0.1464
Ga6 0.5000 0.0000 0.1464
Ga7 0.0000 0.5000 0.8536
Ga8 0.5000 0.0000 0.8536
Ag1 0.0000 0.0000 0.0000

Values from the calculation:
Its space-group type is P4/mmm. The magnetization comes out at 0.0 μB per formula unit.

Model ii:
The following is a DFT calculation (PBE) of a geometry-optimized Mg2Ga8Ag structure.

abc: 5.4389 7.7127 7.7127
angles: 40.73 84.73 84.73
Sites, in units of the cell vectors:
Mg1 0.5745 0.3068 0.3068
Mg2 0.4255 0.6932 0.6932
Ga1 0.0815 0.0916 0.5799
Ga2 0.0815 0.5799 0.0916
Ga3 0.9185 0.9084 0.4201
Ga4 0.2526 0.5060 0.5060
Ga5 0.9185 0.4201 0.9084
Ga6 0.4669 0.0981 0.0981
Ga7 0.5331 0.9019 0.9019
Ga8 0.7474 0.4940 0.4940
Ag1 0.0000 0.0000 0.0000

Values from the calculation:
Its space-group type is C2/m. The magnetization comes out at 0.0 μB per formula unit.

Quick one: least stable of them? model ii

Model i:
The following is a DFT calculation (PBE) of a geometry-optimized MgGaAg4 structure.

abc: 5.5156 5.5156 5.5156
angles: 60.00 60.00 60.00
Sites, in units of the cell vectors:
Mg1 0.0000 0.0000 0.0000
Ga1 0.2500 0.2500 0.2500
Ag1 0.6251 0.6251 0.1248
Ag2 0.6251 0.1248 0.6251
Ag3 0.6251 0.6251 0.6251
Ag4 0.1248 0.6251 0.6251

Values from the calculation:
Its space-group type is F-43m. The magnetization comes out at 0.0 μB per formula unit.

Model ii:
The following is a DFT calculation (PBE) of a geometry-optimized MgGaAg4 structure.

abc: 3.1373 3.1374 10.9000
angles: 90.00 90.00 90.00
Sites, in units of the cell vectors:
Mg1 0.5000 0.5000 0.5000
Ga1 0.0000 0.0000 0.0000
Ag1 0.0000 0.9999 0.6655
Ag2 0.5000 0.4999 0.8397
Ag3 0.5000 0.5001 0.1603
Ag4 0.0000 0.0001 0.3345

Values from the calculation:
Its space-group type is P4/mmm. The magnetization comes out at 0.0 μB per formula unit.

Model iii:
The following is a DFT calculation (PBE) of a geometry-optimized MgGaAg4 structure.

abc: 7.2559 7.2559 7.2559
angles: 114.49 114.49 99.85
Sites, in units of the cell vectors:
Mg1 0.2456 0.2456 0.0000
Mg2 0.9956 0.4956 0.5000
Ga1 0.7537 0.7537 0.0000
Ga2 0.5037 0.0037 0.5000
Ag1 0.2612 0.9329 0.6718
Ag2 0.7392 0.4170 0.6779
Ag3 0.6829 0.5112 0.1718
Ag4 0.1670 0.9892 0.1779
Ag5 0.3394 0.5112 0.8282
Ag6 0.8113 0.9892 0.8221
Ag7 0.7392 0.0613 0.3221
Ag8 0.2612 0.5894 0.3282

Values from the calculation:
Its space-group type is I4_1md. The magnetization comes out at 0.0 μB per formula unit.

Quick one: least stable of them? model iii

Model i:
The following is a DFT calculation (PBE) of a geometry-optimized Mg2Ga4Ag5 structure.

abc: 5.7841 7.3601 6.0637
angles: 76.73 61.51 66.86
Sites, in units of the cell vectors:
Mg1 0.2599 0.8098 0.6705
Mg2 0.7402 0.1902 0.3295
Ga1 0.2781 0.1418 0.3020
Ga2 0.7219 0.8582 0.6980
Ga3 0.7411 0.5185 0.9993
Ga4 0.2589 0.4815 0.0007
Ag1 0.2495 0.1811 0.8100
Ag2 0.7505 0.8189 0.1900
Ag3 0.0000 0.5000 0.5000
Ag4 0.7594 0.1811 0.8100
Ag5 0.2406 0.8189 0.1900

Values from the calculation:
Its space-group type is C2/m. The magnetization comes out at 0.0 μB per formula unit.

Model ii:
The following is a DFT calculation (PBE) of a geometry-optimized Mg2Ga4Ag5 structure.

abc: 6.3324 5.2059 7.0240
angles: 69.61 87.01 69.69
Sites, in units of the cell vectors:
Mg1 0.1886 0.5350 0.2888
Mg2 0.8114 0.4650 0.7112
Ga1 0.5751 0.1547 0.5712
Ga2 0.4249 0.8453 0.4288
Ga3 0.7213 0.5449 0.2375
Ga4 0.2787 0.4551 0.7625
Ag1 0.5924 0.1827 0.1045
Ag2 0.4076 0.8173 0.8955
Ag3 0.0000 0.0000 0.5000
Ag4 0.0832 0.1716 0.0872
Ag5 0.9168 0.8284 0.9128

Values from the calculation:
Its space-group type is P-1. The magnetization comes out at 0.0 μB per formula unit.

Quick one: least stable of them? model i